one.
{
  "formula": "Ba2Sb2Au",
  "functional": "PBE",
  "state": "optimized geometry",
  "total_magnetization_mub_per_cell": 0.0,
  "n_ef_per_ev_fu": 4.1,
  "density_kg_m3": 6828,
  "lattice_angstrom": [[8.252, 0.000, 0.000], [0.000, 8.252, 0.000], [0.000, 0.000, 5.108]],
  "species": ["Ba", "Ba", "Ba", "Ba", "Sb", "Sb", "Sb", "Sb", "Au", "Au"],
  "fractional_positions": [[0.178, 0.322, 0.000], [0.322, 0.822, 0.000], [0.678, 0.178, 0.000], [0.822, 0.678, 0.000], [0.126, 0.626, 0.500], [0.374, 0.126, 0.500], [0.626, 0.874, 0.500], [0.874, 0.374, 0.500], [0.000, 0.000, 0.500], [0.500, 0.500, 0.500]]
}


two.
{
  "formula": "Ba2Sb2Au",
  "functional": "PBE",
  "state": "optimized geometry",
  "total_magnetization_mub_per_cell": 0.0,
  "n_ef_per_ev_fu": 2.0,
  "density_kg_m3": 6246,
  "lattice_angstrom": [[10.009, 0.000, 0.000], [0.000, 10.009, 0.000], [0.000, 0.000, 3.795]],
  "species": ["Ba", "Ba", "Ba", "Ba", "Sb", "Sb", "Sb", "Sb", "Au", "Au"],
  "fractional_positions": [[0.142, 0.358, 0.000], [0.358, 0.858, 0.000], [0.642, 0.142, 0.000], [0.858, 0.642, 0.000], [0.159, 0.659, 0.500], [0.341, 0.159, 0.500], [0.659, 0.841, 0.500], [0.841, 0.341, 0.500], [0.000, 0.000, 0.000], [0.500, 0.500, 0.000]]
}


Most stable structure, least stable structure: one, two.


one.
{
  "formula": "BaSb3Au",
  "functional": "PBE",
  "state": "optimized geometry",
  "total_magnetization_mub_per_cell": 0.0,
  "n_ef_per_ev_fu": 4.0,
  "density_kg_m3": 6867,
  "lattice_angstrom": [[5.531, 0.000, 0.000], [0.000, 5.531, 0.000], [0.000, 0.000, 5.531]],
  "species": ["Ba", "Sb", "Sb", "Sb", "Au"],
  "fractional_positions": [[0.000, 0.000, 0.000], [0.000, 0.500, 0.500], [0.500, 0.000, 0.500], [0.500, 0.500, 0.000], [0.500, 0.500, 0.500]]
}


two.
{
  "formula": "BaSb3Au",
  "functional": "PBE",
  "state": "optimized geometry",
  "total_magnetization_mub_per_cell": 0.0,
  "n_ef_per_ev_fu": 1.5,
  "density_kg_m3": 7617,
  "lattice_angstrom": [[6.510, 0.000, 0.000], [0.000, 7.202, 0.000], [-1.417, 0.000, 6.506]],
  "species": ["Ba", "Ba", "Sb", "Sb", "Sb", "Sb", "Sb", "Sb", "Au", "Au"],
  "fractional_positions": [[0.207, 0.250, 0.221], [0.793, 0.750, 0.779], [0.088, 0.750, 0.375], [0.303, 0.009, 0.758], [0.303, 0.491, 0.758], [0.697, 0.509, 0.242], [0.697, 0.991, 0.242], [0.912, 0.250, 0.625], [0.330, 0.750, 0.080], [0.670, 0.250, 0.920]]
}


Most stable structure, least stable structure: two, one.


one.
{
  "formula": "Ba3Sb4Au4",
  "functional": "PBE",
  "state": "optimized geometry",
  "total_magnetization_mub_per_cell": 0.0,
  "n_ef_per_ev_fu": 1.9,
  "density_kg_m3": 8412,
  "lattice_angstrom": [[4.834, 0.000, 0.000], [-0.002, 4.923, 0.000], [-2.404, -2.363, 13.992]],
  "species": ["Ba", "Ba", "Ba", "Sb", "Sb", "Sb", "Sb", "Au", "Au", "Au", "Au"],
  "fractional_positions": [[0.000, 0.000, 0.000], [0.348, 0.862, 0.695], [0.652, 0.138, 0.305], [0.197, 0.647, 0.395], [0.447, 0.456, 0.894], [0.553, 0.544, 0.106], [0.803, 0.353, 0.605], [0.099, 0.605, 0.199], [0.253, 0.200, 0.504], [0.747, 0.800, 0.496], [0.901, 0.395, 0.801]]
}


two.
{
  "formula": "Ba3Sb4Au4",
  "functional": "PBE",
  "state": "optimized geometry",
  "total_magnetization_mub_per_cell": 0.0,
  "n_ef_per_ev_fu": 4.6,
  "density_kg_m3": 8391,
  "lattice_angstrom": [[-2.424, 2.439, 14.117], [2.424, -2.439, 14.117], [2.424, 2.439, -14.117]],
  "species": ["Ba", "Ba", "Ba", "Sb", "Sb", "Sb", "Sb", "Au", "Au", "Au", "Au"],
  "fractional_positions": [[0.000, 0.000, 0.000], [0.147, 0.647, 0.500], [0.853, 0.353, 0.500], [0.250, 0.250, 0.000], [0.402, 0.902, 0.500], [0.598, 0.098, 0.500], [0.750, 0.750, 0.000], [0.305, 0.805, 0.500], [0.451, 0.451, 0.000], [0.549, 0.549, 0.000], [0.695, 0.195, 0.500]]
}


Most stable structure, least stable structure: one, two.


one.
{
  "formula": "BaScAu2",
  "functional": "PBE",
  "state": "optimized geometry",
  "total_magnetization_mub_per_cell": 0.0,
  "n_ef_per_ev_fu": 2.7,
  "density_kg_m3": 8194,
  "lattice_angstrom": [[2.166, 1.251, 7.184], [-2.166, 1.251, 7.184], [0.000, -2.501, 7.184]],
  "species": ["Ba", "Sc", "Au", "Au"],
  "fractional_positions": [[0.000, 0.000, 0.000], [0.827, 0.827, 0.827], [0.221, 0.221, 0.221], [0.438, 0.438, 0.438]]
}


two.
{
  "formula": "BaScAu2",
  "functional": "PBE",
  "state": "optimized geometry",
  "total_magnetization_mub_per_cell": 0.0,
  "n_ef_per_ev_fu": 3.8,
  "density_kg_m3": 7809,
  "lattice_angstrom": [[-3.994, 3.994, 3.840], [3.994, -3.994, 3.840], [3.994, 3.994, -3.840]],
  "species": ["Ba", "Ba", "Sc", "Sc", "Au", "Au", "Au", "Au"],
  "fractional_positions": [[0.000, 0.000, 0.000], [0.750, 0.250, 0.500], [0.250, 0.750, 0.500], [0.500, 0.500, 0.000], [0.186, 0.125, 0.561], [0.375, 0.814, 0.939], [0.564, 0.625, 0.439], [0.875, 0.436, 0.061]]
}


three.
{
  "formula": "BaScAu2",
  "functional": "PBE",
  "state": "optimized geometry",
  "total_magnetization_mub_per_cell": 0.0,
  "n_ef_per_ev_fu": 4.2,
  "density_kg_m3": 9252,
  "lattice_angstrom": [[-1.812, 2.598, 5.494], [1.812, -2.598, 5.494], [1.812, 2.598, -5.494]],
  "species": ["Ba", "Sc", "Au", "Au"],
  "fractional_positions": [[0.000, 0.000, 0.000], [0.294, 0.794, 0.500], [0.506, 0.506, 0.000], [0.734, 0.234, 0.500]]
}


four.
{
  "formula": "BaScAu2",
  "functional": "PBE",
  "state": "optimized geometry",
  "total_magnetization_mub_per_cell": 0.9,
  "n_ef_per_ev_fu": 4.7,
  "density_kg_m3": 9207,
  "lattice_angstrom": [[-2.208, 2.208, 5.330], [2.208, -2.208, 5.330], [2.208, 2.208, -5.330]],
  "species": ["Ba", "Sc", "Au", "Au"],
  "fractional_positions": [[0.000, 0.000, 0.000], [0.250, 0.750, 0.500], [0.500, 0.500, 0.000], [0.750, 0.250, 0.500]]
}


Most stable structure, least stable structure: one, four.


one.
{
  "formula": "BaScAu2",
  "functional": "PBE",
  "state": "optimized geometry",
  "total_magnetization_mub_per_cell": 0.0,
  "n_ef_per_ev_fu": 3.5,
  "density_kg_m3": 10179,
  "lattice_angstrom": [[0.000, 3.609, 3.609], [3.609, 0.000, 3.609], [3.609, 3.609, 0.000]],
  "species": ["Ba", "Sc", "Au", "Au"],
  "fractional_positions": [[0.000, 0.000, 0.000], [0.750, 0.750, 0.750], [0.250, 0.250, 0.250], [0.500, 0.500, 0.500]]
}


two.
{
  "formula": "BaScAu2",
  "functional": "PBE",
  "state": "optimized geometry",
  "total_magnetization_mub_per_cell": 0.0,
  "n_ef_per_ev_fu": 3.8,
  "density_kg_m3": 8316,
  "lattice_angstrom": [[2.407, 1.390, 5.732], [-2.407, 1.390, 5.732], [0.000, -2.780, 5.732]],
  "species": ["Ba", "Sc", "Au", "Au"],
  "fractional_positions": [[0.000, 0.000, 0.000], [0.500, 0.500, 0.500], [0.201, 0.201, 0.201], [0.799, 0.799, 0.799]]
}


three.
{
  "formula": "BaScAu2",
  "functional": "PBE",
  "state": "optimized geometry",
  "total_magnetization_mub_per_cell": 0.0,
  "n_ef_per_ev_fu": 6.0,
  "density_kg_m3": 9102,
  "lattice_angstrom": [[0.000, 3.746, 3.746], [3.746, 0.000, 3.746], [3.746, 3.746, 0.000]],
  "species": ["Ba", "Sc", "Au", "Au"],
  "fractional_positions": [[0.000, 0.000, 0.000], [0.500, 0.500, 0.500], [0.250, 0.250, 0.250], [0.750, 0.750, 0.750]]
}


four.
{
  "formula": "BaScAu2",
  "functional": "PBE",
  "state": "optimized geometry",
  "total_magnetization_mub_per_cell": 0.0,
  "n_ef_per_ev_fu": 3.7,
  "density_kg_m3": 9460,
  "lattice_angstrom": [[3.617, 0.000, 0.000], [0.000, 3.617, 0.000], [0.000, 0.000, 7.730]],
  "species": ["Ba", "Sc", "Au", "Au"],
  "fractional_positions": [[0.000, 0.000, 0.000], [0.000, 0.000, 0.500], [0.500, 0.500, 0.311], [0.500, 0.500, 0.689]]
}


Most stable structure, least stable structure: four, one.


one.
{
  "formula": "BaScAu2",
  "functional": "PBE",
  "state": "optimized geometry",
  "total_magnetization_mub_per_cell": 0.0,
  "n_ef_per_ev_fu": 4.5,
  "density_kg_m3": 8370,
  "lattice_angstrom": [[4.471, 0.000, 0.000], [0.000, 1.905, 6.712], [0.000, -1.905, 6.712]],
  "species": ["Ba", "Sc", "Au", "Au"],
  "fractional_positions": [[0.000, 0.000, 0.000], [0.500, 0.731, 0.731], [0.000, 0.243, 0.243], [0.500, 0.387, 0.387]]
}


two.
{
  "formula": "BaScAu2",
  "functional": "PBE",
  "state": "optimized geometry",
  "total_magnetization_mub_per_cell": 0.0,
  "n_ef_per_ev_fu": 3.0,
  "density_kg_m3": 9341,
  "lattice_angstrom": [[5.343, 0.000, 0.000], [0.000, 5.343, 0.000], [0.000, 0.000, 3.589]],
  "species": ["Ba", "Sc", "Au", "Au"],
  "fractional_positions": [[0.000, 0.000, 0.000], [0.500, 0.500, 0.000], [0.000, 0.500, 0.500], [0.500, 0.000, 0.500]]
}


Most stable structure, least stable structure: one, two.